Run P
Entry from Alexandria via LeMat-Bulk: crystalline PuZn3Au3 at its relaxed geometry (PBE-GGA).

The structure belongs to space group Pm-3n (No. 223); the cell edges are 7.045, 7.045 and 7.045 Å and the angles 90.00°, 90.00° and 90.00°. The asymmetric unit holds Pu at (0.000, 0.000, 0.000), Zn at (0.000, 0.250, 0.500) and Au at (0.000, 0.500, 0.250).

For the size of the total moment, the calculation gives 11.942 μB/cell. Its density of states at the Fermi level is 43.16 states/eV per cell.


Run Q
Entry from Alexandria via LeMat-Bulk: crystalline PuZn3Au3 at its relaxed geometry (PBE-GGA).

The structure belongs to space group P2_1/m (No. 11); the cell edges are 6.600, 4.561 and 9.271 Å and the angles 90.00°, 105.81° and 90.00°. The asymmetric unit holds Pu at (0.143, 0.250, 0.275), Zn at (0.168, 0.250, 0.905), Zn at (0.458, 0.750, 0.857), Zn at (0.493, 0.250, 0.688), Au at (0.079, 0.250, 0.610), Au at (0.235, 0.750, 0.051) and Au at (0.355, 0.750, 0.551).

For the size of the total moment, the calculation gives 11.280 μB/cell. Its density of states at the Fermi level is 30.79 states/eV per cell.


What are the relative energies? In kJ/mol of atoms: run P 38.0; run Q 0.0.


Run P
Entry from Alexandria via LeMat-Bulk: crystalline PuZn2Au4 at its relaxed geometry (PBE-GGA).

The structure belongs to space group C2/m (No. 12); the cell edges are 8.851, 7.032 and 5.367 Å and the angles 90.00°, 127.18° and 90.00°. The asymmetric unit holds Pu at (0.000, 0.000, 0.000), Zn at (0.000, 0.500, 0.249) and Au at (0.199, 0.200, 0.700).

For the size of the total moment, the calculation gives 11.115 μB/cell. Its density of states at the Fermi level is 29.14 states/eV per cell.


Run Q
Entry from Alexandria via LeMat-Bulk: crystalline PuZn2Au4 at its relaxed geometry (PBE-GGA).

The structure belongs to space group Pnma (No. 62); the cell edges are 17.442, 4.537 and 7.001 Å and the angles 90.00°, 90.00° and 90.00°. The asymmetric unit holds Pu at (0.144, 0.250, 0.034), Zn at (0.036, 0.750, 0.256), Zn at (0.212, 0.250, 0.543), Au at (0.036, 0.750, 0.873), Au at (0.064, 0.250, 0.458), Au at (0.187, 0.750, 0.329) and Au at (0.192, 0.750, 0.747).

For the size of the total moment, the calculation gives 22.344 μB/cell. Its density of states at the Fermi level is 62.56 states/eV per cell.


What are the relative energies? In kJ/mol of atoms: run P 0.0; run Q 5.7.


Run P
Entry from Alexandria via LeMat-Bulk: crystalline PuZn4Au2 at its relaxed geometry (PBE-GGA).

The structure belongs to space group Cmmm (No. 65); the cell edges are 4.655, 17.728 and 3.066 Å and the angles 90.00°, 90.00° and 90.00°. The asymmetric unit holds Pu at (0.000, 0.000, 0.000), Zn at (0.000, 0.165, 0.500), Zn at (0.000, 0.291, 0.000) and Au at (0.000, 0.417, 0.500).

For the size of the total moment, the calculation gives 11.330 μB/cell. Its density of states at the Fermi level is 19.71 states/eV per cell.


Run Q
Entry from Alexandria via LeMat-Bulk: crystalline PuZn4Au2 at its relaxed geometry (PBE-GGA).

The structure belongs to space group P4_2/mnm (No. 136); the cell edges are 7.739, 7.739 and 4.349 Å and the angles 90.00°, 90.00° and 90.00°. The asymmetric unit holds Pu at (0.000, 0.000, 0.000), Zn at (0.095, 0.349, 0.500) and Au at (0.212, 0.788, 0.500).

For the size of the total moment, the calculation gives 11.318 μB/cell. Its density of states at the Fermi level is 31.09 states/eV per cell.


What are the relative energies? In kJ/mol of atoms: run P 4.9; run Q 0.0.


Run P
Entry from Alexandria via LeMat-Bulk: crystalline PuZnAu3 at its relaxed geometry (PBE-GGA).

The structure belongs to space group C2/m (No. 12); the cell edges are 17.321, 4.476 and 5.464 Å and the angles 90.00°, 105.28° and 90.00°. The asymmetric unit holds Pu at (0.077, 0.000, 0.319), Zn at (0.192, 0.500, 0.133), Au at (0.044, 0.500, 0.769), Au at (0.153, 0.000, 0.878) and Au at (0.217, 0.500, 0.625).

For the size of the total moment, the calculation gives 22.658 μB/cell. Its density of states at the Fermi level is 57.57 states/eV per cell.


Run Q
Entry from Alexandria via LeMat-Bulk: crystalline PuZnAu3 at its relaxed geometry (PBE-GGA).

The structure belongs to space group Pnma (No. 62); the cell edges are 5.651, 12.936 and 5.645 Å and the angles 90.00°, 90.00° and 90.00°. The asymmetric unit holds Pu at (0.000, 0.000, 0.000), Zn at (0.194, 0.250, 0.186), Au at (0.005, 0.608, 0.512) and Au at (0.138, 0.750, 0.144).

For the size of the total moment, the calculation gives 23.006 μB/cell. Its density of states at the Fermi level is 58.00 states/eV per cell.


What are the relative energies? In kJ/mol of atoms: run P 1.5; run Q 0.0.


Run P
Entry from Alexandria via LeMat-Bulk: crystalline PuZn2Au2 at its relaxed geometry (PBE-GGA).

The structure belongs to space group Cmcm (No. 63); the cell edges are 5.718, 5.718 and 12.538 Å and the angles 90.00°, 90.00° and 90.00°. The asymmetric unit holds Pu at (0.000, 0.249, 0.250), Zn at (0.250, 0.000, 0.000) and Au at (0.000, 0.250, 0.639).

For the size of the total moment, the calculation gives 22.625 μB/cell. Its density of states at the Fermi level is 56.23 states/eV per cell.


Run Q
Entry from Alexandria via LeMat-Bulk: crystalline PuZn2Au2 at its relaxed geometry (PBE-GGA).

The structure belongs to space group Pnma (No. 62); the cell edges are 9.108, 3.046 and 14.285 Å and the angles 90.00°, 90.00° and 90.00°. The asymmetric unit holds Pu at (0.195, 0.250, 0.161), Zn at (0.078, 0.750, 0.346), Zn at (0.100, 0.750, 0.963), Au at (0.112, 0.250, 0.807) and Au at (0.131, 0.250, 0.509).

For the size of the total moment, the calculation gives 23.156 μB/cell. Its density of states at the Fermi level is 36.06 states/eV per cell.


What are the relative energies? In kJ/mol of atoms: run P 0.0; run Q 9.4.


Run P
Entry from Alexandria via LeMat-Bulk: crystalline Pu2ZrAu at its relaxed geometry (PBE-GGA).

The structure belongs to space group P4/mmm (No. 123); the cell edges are 4.257, 4.257 and 5.008 Å and the angles 90.00°, 90.00° and 90.00°. The asymmetric unit holds Pu at (0.000, 0.500, 0.000), Zr at (0.000, 0.000, 0.500) and Au at (0.500, 0.500, 0.500).

For the size of the total moment, the calculation gives 11.631 μB/cell. Its density of states at the Fermi level is 9.62 states/eV per cell.


Run Q
Entry from Alexandria via LeMat-Bulk: crystalline Pu2ZrAu at its relaxed geometry (PBE-GGA).

The structure belongs to space group P4/mmm (No. 123); the cell edges are 3.924, 3.924 and 6.306 Å and the angles 90.00°, 90.00° and 90.00°. The asymmetric unit holds Pu at (0.000, 0.000, 0.235), Zr at (0.500, 0.500, 0.500) and Au at (0.500, 0.500, 0.000).

For the size of the total moment, the calculation gives 12.637 μB/cell. Its density of states at the Fermi level is 11.47 states/eV per cell.


What are the relative energies? In kJ/mol of atoms: run P 0.0; run Q 7.2.


Run P
Entry from Alexandria via LeMat-Bulk: crystalline Rb5Au at its relaxed geometry (PBE-GGA).

The structure belongs to space group Cmmm (No. 65); the cell edges are 4.567, 33.235 and 5.691 Å and the angles 90.00°, 90.00° and 90.00°. The asymmetric unit holds Rb at (0.000, 0.000, 0.000), Rb at (0.000, 0.088, 0.500), Rb at (0.000, 0.313, 0.000) and Au at (0.000, 0.500, 0.500).

For the size of the total moment, the calculation gives 0.000 μB/cell. Its density of states at the Fermi level is 8.84 states/eV per cell.


Run Q
Entry from Alexandria via LeMat-Bulk: crystalline Rb5Au at its relaxed geometry (PBE-GGA).

The structure belongs to space group Pmma (No. 51); the cell edges are 13.397, 5.202 and 11.611 Å and the angles 90.00°, 90.00° and 90.00°. The asymmetric unit holds Rb at (0.000, 0.000, 0.000), Rb at (0.088, 0.500, 0.306), Rb at (0.250, 0.000, 0.604), Rb at (0.250, 0.500, 0.958) and Au at (0.250, 0.000, 0.170).

For the size of the total moment, the calculation gives 0.000 μB/cell. Its density of states at the Fermi level is 8.17 states/eV per cell.


Run R
Entry from Alexandria via LeMat-Bulk: crystalline Rb5Au at its relaxed geometry (PBE-GGA).

The structure belongs to space group I4/mcm (No. 140); the cell edges are 8.746, 8.746 and 22.172 Å and the angles 90.00°, 90.00° and 90.00°. The asymmetric unit holds Rb at (0.000, 0.000, 0.000), Rb at (0.187, 0.313, 0.164) and Au at (0.000, 0.000, 0.250).

For the size of the total moment, the calculation gives 0.000 μB/cell. Its density of states at the Fermi level is 10.64 states/eV per cell.


What are the relative energies? In kJ/mol of atoms: run P 3.6; run Q 0.0; run R 2.1.


Run P
Entry from Alexandria via LeMat-Bulk: crystalline Rb2Au3 at its relaxed geometry (PBE-GGA).

The structure belongs to space group Immm (No. 71); the cell edges are 5.083, 5.591 and 10.718 Å and the angles 90.00°, 90.00° and 90.00°. The asymmetric unit holds Rb at (0.000, 0.000, 0.195), Au at (0.000, 0.252, 0.500) and Au at (0.000, 0.500, 0.000).

For the size of the total moment, the calculation gives 0.000 μB/cell. Its density of states at the Fermi level is 1.93 states/eV per cell.


Run Q
Entry from Alexandria via LeMat-Bulk: crystalline Rb2Au3 at its relaxed geometry (PBE-GGA).

The structure belongs to space group Cmce (No. 64); the cell edges are 5.731, 11.778 and 9.072 Å and the angles 90.00°, 90.00° and 90.00°. The asymmetric unit holds Rb at (0.000, 0.169, 0.092), Au at (0.000, 0.000, 0.500) and Au at (0.250, 0.068, 0.750).

For the size of the total moment, the calculation gives 0.000 μB/cell. Its density of states at the Fermi level is 3.95 states/eV per cell.


What are the relative energies? In kJ/mol of atoms: run P 0.0; run Q 0.8.